Entry 1:
Material: Ta2ReAs
Method: DFT, PBE
State: relaxed

Cell: 3.772 3.772 9.365 Å, 90.00 90.00 90.00°
Positions (direct):
Ta1 0.000 0.000 0.000
Ta2 0.000 0.500 0.250
Ta3 0.500 0.000 0.750
Ta4 0.500 0.500 0.500
Re1 0.000 0.000 0.500
Re2 0.500 0.500 0.000
As1 0.000 0.500 0.750
As2 0.500 0.000 0.250

spin magnetization: 0.00 Bohr magnetons per cell
formation enthalpy at 0 K: 11.1 meV/atom



Entry 2:
Material: Ta2ReAs
Method: DFT, PBE
State: relaxed

Cell: 3.314 3.314 6.049 Å, 90.00 90.00 90.00°
Positions (direct):
Ta1 0.000 0.000 0.246
Ta2 0.000 0.000 0.754
Re1 0.500 0.500 0.500
As1 0.500 0.500 0.000

spin magnetization: 0.00 Bohr magnetons per cell
formation enthalpy at 0 K: -94.3 meV/atom



Entry 3:
Material: Ta2ReAs
Method: DFT, PBE
State: relaxed

Cell: 3.063 4.205 5.262 Å, 90.00 90.00 90.00°
Positions (direct):
Ta1 0.000 0.000 0.000
Ta2 0.500 0.500 0.282
Re1 0.500 0.500 0.783
As1 0.000 0.000 0.507

spin magnetization: 0.00 Bohr magnetons per cell
formation enthalpy at 0 K: 69.4 meV/atom



Entry 4:
Material: Ta2ReAs
Method: DFT, PBE
State: relaxed

Cell: 4.192 4.192 7.586 Å, 90.00 90.00 90.00°
Positions (direct):
Ta1 0.000 0.500 0.250
Ta2 0.000 0.500 0.750
Ta3 0.500 0.000 0.250
Ta4 0.500 0.000 0.750
Re1 0.000 0.000 0.000
Re2 0.500 0.500 0.500
As1 0.000 0.000 0.500
As2 0.500 0.500 0.000

spin magnetization: 0.00 Bohr magnetons per cell
formation enthalpy at 0 K: 78.6 meV/atom



Entry 5:
Material: TaReTeAs2
Method: DFT, PBE
State: relaxed

Cell: 5.163 5.163 5.102 Å, 90.00 90.00 90.00°
Positions (direct):
Ta1 0.000 0.000 0.000
Re1 0.500 0.500 0.000
Te1 0.000 0.000 0.500
As1 0.000 0.500 0.500
As2 0.500 0.000 0.500

spin magnetization: 2.48 Bohr magnetons per cell
formation energy from raw total energies: 11.497 eV/f.u.



Entry 6:
Material: ReTcAs2
Method: DFT, PBE
State: relaxed

Cell: 3.072 4.164 9.615 Å, 90.00 90.00 90.00°
Positions (direct):
Re1 0.000 0.000 0.000
Re2 0.500 0.500 0.500
Tc1 0.000 0.500 0.767
Tc2 0.500 0.000 0.267
As1 0.000 0.000 0.497
As2 0.000 0.500 0.273
As3 0.500 0.000 0.773
As4 0.500 0.500 0.997

spin magnetization: 0.01 Bohr magnetons per cell
formation enthalpy at 0 K: 265.1 meV/atom



Entry 7:
Material: ReTcAs
Method: DFT, PBE
State: relaxed

Cell: 4.265 4.265 2.848 Å, 90.00 90.00 120.00°
Positions (direct):
Re1 0.000 0.000 0.000
Tc1 0.667 0.333 0.500
As1 0.333 0.667 0.000

spin magnetization: 0.00 Bohr magnetons per cell
formation enthalpy at 0 K: 143.8 meV/atom



Entry 8:
Material: ReTc2As
Method: DFT, PBE
State: relaxed

Cell: 3.811 3.811 8.080 Å, 90.00 90.00 90.00°
Positions (direct):
Re1 0.000 0.000 0.000
Re2 0.500 0.500 0.500
Tc1 0.000 0.500 0.250
Tc2 0.000 0.500 0.750
Tc3 0.500 0.000 0.250
Tc4 0.500 0.000 0.750
As1 0.000 0.000 0.500
As2 0.500 0.500 0.000

spin magnetization: 0.00 Bohr magnetons per cell
formation enthalpy at 0 K: 282.0 meV/atom